Computed, not measured: crystalline KNdZnWO6 at its relaxed geometry at the PBE with a Hubbard U level of DFT.

Cell: 5.6636 5.6636 5.6636 Å, 60.00 60.00 60.00°
Atoms (fractional coordinates):
K 0.7500 0.7500 0.7500
Nd 0.2500 0.2500 0.2500
Zn 0.0000 0.0000 0.0000
W 0.5000 0.5000 0.5000
O 0.2580 0.7420 0.2580
O 0.7420 0.2580 0.7420
O 0.2580 0.7420 0.7420
O 0.7420 0.2580 0.2580
O 0.2580 0.2580 0.7420
O 0.7420 0.7420 0.2580

**Volume**: 128 Å³ per cell
**Theoretical density**: 6.833 g cm⁻³
**Magnetization**: 0.0 μB per formula unit
**Total energy**: -65.6 eV for the cell shown
**Space group**: F-43m, No. 216